(1)
{
  "formula": "La2Sm3Pb4",
  "functional": "PBE-GGA",
  "state": "relaxed",
  "magnetic_moment_mub_per_cell": 0.00,
  "rho_kg_m3": 8652,
  "space_group": "No. 64",
  "cell": [[3.661, -8.852, 0.000], [3.661, 8.852, 0.000], [0.000, 0.000, 9.224]],
  "species": ["La", "La", "La", "La", "Sm", "Sm", "Sm", "Sm", "Sm", "Sm", "Pb", "Pb", "Pb", "Pb", "Pb", "Pb", "Pb", "Pb"],
  "frac_coords": [[0.111, 0.889, 0.911], [0.389, 0.611, 0.411], [0.611, 0.389, 0.589], [0.889, 0.111, 0.089], [0.000, 0.000, 0.500], [0.044, 0.456, 0.750], [0.456, 0.044, 0.250], [0.500, 0.500, 0.000], [0.544, 0.956, 0.750], [0.956, 0.544, 0.250], [0.185, 0.815, 0.556], [0.220, 0.280, 0.750], [0.280, 0.220, 0.250], [0.315, 0.685, 0.056], [0.685, 0.315, 0.944], [0.720, 0.780, 0.750], [0.780, 0.720, 0.250], [0.815, 0.185, 0.444]]
}



(2)
{
  "formula": "La2Sm3Pb4",
  "functional": "PBE-GGA",
  "state": "relaxed",
  "magnetic_moment_mub_per_cell": 0.00,
  "rho_kg_m3": 8854,
  "space_group": "No. 14",
  "cell": [[8.656, 0.000, 0.000], [0.000, 8.641, 0.000], [-3.016, 0.000, 7.811]],
  "species": ["La", "La", "La", "La", "Sm", "Sm", "Sm", "Sm", "Sm", "Sm", "Pb", "Pb", "Pb", "Pb", "Pb", "Pb", "Pb", "Pb"],
  "frac_coords": [[0.193, 0.180, 0.060], [0.193, 0.320, 0.560], [0.807, 0.680, 0.440], [0.807, 0.820, 0.940], [0.245, 0.662, 0.239], [0.245, 0.838, 0.739], [0.500, 0.000, 0.500], [0.500, 0.500, 0.000], [0.755, 0.162, 0.261], [0.755, 0.338, 0.761], [0.086, 0.540, 0.834], [0.086, 0.960, 0.334], [0.490, 0.139, 0.862], [0.490, 0.361, 0.362], [0.510, 0.639, 0.638], [0.510, 0.861, 0.138], [0.914, 0.040, 0.666], [0.914, 0.460, 0.166]]
}



Name the most stable of them. (2).



(1)
{
  "formula": "La3SmPb2",
  "functional": "PBE-GGA",
  "state": "relaxed",
  "magnetic_moment_mub_per_cell": 0.00,
  "rho_kg_m3": 7913,
  "space_group": "No. 115",
  "cell": [[4.776, 0.000, 0.000], [0.000, 4.776, 0.000], [0.000, 0.000, 9.030]],
  "species": ["La", "La", "La", "Sm", "Pb", "Pb"],
  "frac_coords": [[0.000, 0.000, 0.000], [0.000, 0.500, 0.651], [0.500, 0.000, 0.349], [0.500, 0.500, 0.000], [0.000, 0.500, 0.278], [0.500, 0.000, 0.722]]
}



(2)
{
  "formula": "La3SmPb2",
  "functional": "PBE-GGA",
  "state": "relaxed",
  "magnetic_moment_mub_per_cell": 0.00,
  "rho_kg_m3": 8354,
  "space_group": "No. 65",
  "cell": [[5.039, 0.000, 0.000], [0.000, 16.804, 0.000], [0.000, 0.000, 4.608]],
  "species": ["La", "La", "La", "La", "La", "La", "Sm", "Sm", "Pb", "Pb", "Pb", "Pb"],
  "frac_coords": [[0.000, 0.000, 0.000], [0.000, 0.319, 0.000], [0.000, 0.681, 0.000], [0.500, 0.181, 0.000], [0.500, 0.500, 0.000], [0.500, 0.819, 0.000], [0.000, 0.500, 0.500], [0.500, 0.000, 0.500], [0.000, 0.147, 0.500], [0.000, 0.853, 0.500], [0.500, 0.353, 0.500], [0.500, 0.647, 0.500]]
}



Name the most stable of them. (1).



(1)
{
  "formula": "La2SmPb2",
  "functional": "PBE-GGA",
  "state": "relaxed",
  "magnetic_moment_mub_per_cell": 0.01,
  "rho_kg_m3": 8217,
  "space_group": "No. 12",
  "cell": [[6.591, -2.479, 0.000], [6.591, 2.479, 0.000], [-5.150, 0.000, 10.421]],
  "species": ["La", "La", "La", "La", "Sm", "Sm", "Pb", "Pb", "Pb", "Pb"],
  "frac_coords": [[0.009, 0.009, 0.177], [0.181, 0.181, 0.590], [0.819, 0.819, 0.410], [0.991, 0.991, 0.823], [0.289, 0.289, 0.150], [0.711, 0.711, 0.850], [0.368, 0.368, 0.923], [0.461, 0.461, 0.612], [0.539, 0.539, 0.388], [0.632, 0.632, 0.077]]
}



(2)
{
  "formula": "La2SmPb2",
  "functional": "PBE-GGA",
  "state": "relaxed",
  "magnetic_moment_mub_per_cell": 0.00,
  "rho_kg_m3": 8311,
  "space_group": "No. 127",
  "cell": [[8.482, 0.000, 0.000], [0.000, 8.482, 0.000], [0.000, 0.000, 4.680]],
  "species": ["La", "La", "La", "La", "Sm", "Sm", "Pb", "Pb", "Pb", "Pb"],
  "frac_coords": [[0.168, 0.332, 0.000], [0.332, 0.832, 0.000], [0.668, 0.168, 0.000], [0.832, 0.668, 0.000], [0.000, 0.000, 0.500], [0.500, 0.500, 0.500], [0.135, 0.635, 0.500], [0.365, 0.135, 0.500], [0.635, 0.865, 0.500], [0.865, 0.365, 0.500]]
}



Name the most stable of them. (2).



(1)
{
  "formula": "LaSmTlPb",
  "functional": "PBE-GGA",
  "state": "relaxed",
  "magnetic_moment_mub_per_cell": 0.00,
  "rho_kg_m3": 9626,
  "space_group": "No. 119",
  "cell": [[5.164, 0.000, 0.000], [0.000, 5.164, 0.000], [0.000, 0.000, 9.067]],
  "species": ["La", "La", "Sm", "Sm", "Tl", "Tl", "Pb", "Pb"],
  "frac_coords": [[0.000, 0.000, 0.000], [0.500, 0.500, 0.500], [0.000, 0.000, 0.500], [0.500, 0.500, 0.000], [0.000, 0.500, 0.250], [0.500, 0.000, 0.750], [0.000, 0.500, 0.750], [0.500, 0.000, 0.250]]
}



(2)
{
  "formula": "LaSmTlPb",
  "functional": "PBE-GGA",
  "state": "relaxed",
  "magnetic_moment_mub_per_cell": 0.00,
  "rho_kg_m3": 9500,
  "space_group": "No. 216",
  "cell": [[7.884, 0.000, 0.000], [0.000, 7.884, 0.000], [0.000, 0.000, 7.884]],
  "species": ["La", "La", "La", "La", "Sm", "Sm", "Sm", "Sm", "Tl", "Tl", "Tl", "Tl", "Pb", "Pb", "Pb", "Pb"],
  "frac_coords": [[0.000, 0.000, 0.000], [0.000, 0.500, 0.500], [0.500, 0.000, 0.500], [0.500, 0.500, 0.000], [0.000, 0.000, 0.500], [0.000, 0.500, 0.000], [0.500, 0.000, 0.000], [0.500, 0.500, 0.500], [0.250, 0.250, 0.250], [0.250, 0.750, 0.750], [0.750, 0.250, 0.750], [0.750, 0.750, 0.250], [0.250, 0.250, 0.750], [0.250, 0.750, 0.250], [0.750, 0.250, 0.250], [0.750, 0.750, 0.750]]
}



Name the most stable of them. (1).



(1)
{
  "formula": "La3SnPb",
  "functional": "PBE-GGA",
  "state": "relaxed",
  "magnetic_moment_mub_per_cell": 0.00,
  "rho_kg_m3": 6795,
  "space_group": "No. 12",
  "cell": [[8.298, -2.786, 0.000], [8.298, 2.786, 0.000], [-5.606, 0.000, 7.850]],
  "species": ["La", "La", "La", "La", "La", "La", "Sn", "Sn", "Pb", "Pb"],
  "frac_coords": [[0.096, 0.096, 0.431], [0.251, 0.251, 0.246], [0.400, 0.400, 0.067], [0.600, 0.600, 0.933], [0.749, 0.749, 0.754], [0.904, 0.904, 0.569], [0.148, 0.148, 0.814], [0.852, 0.852, 0.186], [0.354, 0.354, 0.687], [0.646, 0.646, 0.313]]
}



(2)
{
  "formula": "La3SnPb",
  "functional": "PBE-GGA",
  "state": "relaxed",
  "magnetic_moment_mub_per_cell": 0.00,
  "rho_kg_m3": 5743,
  "space_group": "No. 221",
  "cell": [[5.988, 0.000, 0.000], [0.000, 5.988, 0.000], [0.000, 0.000, 5.988]],
  "species": ["La", "La", "La", "Sn", "Pb"],
  "frac_coords": [[0.000, 0.000, 0.500], [0.000, 0.500, 0.000], [0.500, 0.000, 0.000], [0.000, 0.000, 0.000], [0.500, 0.500, 0.500]]
}



Name the most stable of them. (1).



(1)
{
  "formula": "La3Sn2Pb",
  "functional": "PBE-GGA",
  "state": "relaxed",
  "magnetic_moment_mub_per_cell": 0.00,
  "rho_kg_m3": 7586,
  "space_group": "No. 65",
  "cell": [[4.306, 0.000, 0.000], [0.000, 17.173, 0.000], [0.000, 0.000, 5.099]],
  "species": ["La", "La", "La", "La", "La", "La", "Sn", "Sn", "Sn", "Sn", "Pb", "Pb"],
  "frac_coords": [[0.000, 0.000, 0.000], [0.000, 0.163, 0.500], [0.000, 0.837, 0.500], [0.500, 0.337, 0.500], [0.500, 0.500, 0.000], [0.500, 0.663, 0.500], [0.000, 0.316, 0.000], [0.000, 0.684, 0.000], [0.500, 0.184, 0.000], [0.500, 0.816, 0.000], [0.000, 0.500, 0.500], [0.500, 0.000, 0.500]]
}



(2)
{
  "formula": "La3Sn2Pb",
  "functional": "PBE-GGA",
  "state": "relaxed",
  "magnetic_moment_mub_per_cell": 0.00,
  "rho_kg_m3": 7612,
  "space_group": "No. 15",
  "cell": [[8.831, -3.342, 0.000], [8.831, 3.342, 0.000], [-1.280, 0.000, 6.366]],
  "species": ["La", "La", "La", "La", "La", "La", "Sn", "Sn", "Sn", "Sn", "Pb", "Pb"],
  "frac_coords": [[0.127, 0.873, 0.750], [0.209, 0.447, 0.392], [0.447, 0.209, 0.892], [0.553, 0.791, 0.108], [0.791, 0.553, 0.608], [0.873, 0.127, 0.250], [0.053, 0.270, 0.068], [0.270, 0.053, 0.568], [0.730, 0.947, 0.432], [0.947, 0.730, 0.932], [0.375, 0.625, 0.250], [0.625, 0.375, 0.750]]
}



Name the most stable of them. (1).



(1)
{
  "formula": "LaSnPb3",
  "functional": "PBE-GGA",
  "state": "relaxed",
  "magnetic_moment_mub_per_cell": 0.00,
  "rho_kg_m3": 7702,
  "space_group": "No. 221",
  "cell": [[5.744, 0.000, 0.000], [0.000, 5.744, 0.000], [0.000, 0.000, 5.744]],
  "species": ["La", "Sn", "Pb", "Pb", "Pb"],
  "frac_coords": [[0.000, 0.000, 0.000], [0.500, 0.500, 0.500], [0.000, 0.500, 0.500], [0.500, 0.000, 0.500], [0.500, 0.500, 0.000]]
}



(2)
{
  "formula": "LaSnPb3",
  "functional": "PBE-GGA",
  "state": "relaxed",
  "magnetic_moment_mub_per_cell": 0.00,
  "rho_kg_m3": 6545,
  "space_group": "No. 221",
  "cell": [[6.065, 0.000, 0.000], [0.000, 6.065, 0.000], [0.000, 0.000, 6.065]],
  "species": ["La", "Sn", "Pb", "Pb", "Pb"],
  "frac_coords": [[0.000, 0.000, 0.000], [0.500, 0.500, 0.500], [0.000, 0.000, 0.500], [0.000, 0.500, 0.000], [0.500, 0.000, 0.000]]
}



Name the most stable of them. (1).



(1)
{
  "formula": "La5SnPb2",
  "functional": "PBE-GGA",
  "state": "relaxed",
  "magnetic_moment_mub_per_cell": 2.57,
  "rho_kg_m3": 7613,
  "space_group": "No. 140",
  "cell": [[-4.341, 4.341, 7.106], [4.341, -4.341, 7.106], [4.341, 4.341, -7.106]],
  "species": ["La", "La", "La", "La", "La", "La", "La", "La", "La", "La", "Sn", "Sn", "Pb", "Pb", "Pb", "Pb"],
  "frac_coords": [[0.000, 0.000, 0.000], [0.012, 0.512, 0.834], [0.179, 0.012, 0.500], [0.321, 0.821, 0.834], [0.488, 0.321, 0.500], [0.500, 0.500, 0.000], [0.512, 0.679, 0.500], [0.679, 0.179, 0.166], [0.821, 0.988, 0.500], [0.988, 0.488, 0.166], [0.250, 0.250, 0.000], [0.750, 0.750, 0.000], [0.134, 0.366, 0.500], [0.366, 0.866, 0.232], [0.634, 0.134, 0.768], [0.866, 0.634, 0.500]]
}



(2)
{
  "formula": "La5SnPb2",
  "functional": "PBE-GGA",
  "state": "relaxed",
  "magnetic_moment_mub_per_cell": 0.00,
  "rho_kg_m3": 8049,
  "space_group": "No. 5",
  "cell": [[12.094, 0.000, 0.000], [0.000, 7.213, 0.000], [-4.358, 0.000, 5.807]],
  "species": ["La", "La", "La", "La", "La", "La", "La", "La", "La", "La", "Sn", "Sn", "Pb", "Pb", "Pb", "Pb"],
  "frac_coords": [[0.000, 0.000, 0.000], [0.244, 0.228, 0.017], [0.244, 0.773, 0.471], [0.256, 0.273, 0.529], [0.256, 0.728, 0.983], [0.500, 0.500, 0.000], [0.744, 0.273, 0.471], [0.744, 0.728, 0.017], [0.756, 0.228, 0.983], [0.756, 0.773, 0.529], [0.000, 0.501, 0.000], [0.500, 0.001, 0.000], [0.000, 0.000, 0.500], [0.000, 0.501, 0.500], [0.500, 0.001, 0.500], [0.500, 0.500, 0.500]]
}



Name the most stable of them. (1).



(1)
{
  "formula": "La6Sn2Pb",
  "functional": "PBE-GGA",
  "state": "relaxed",
  "magnetic_moment_mub_per_cell": 0.00,
  "rho_kg_m3": 7895,
  "space_group": "No. 191",
  "cell": [[9.545, 0.000, 0.000], [-4.773, 8.266, 0.000], [0.000, 0.000, 3.407]],
  "species": ["La", "La", "La", "La", "La", "La", "Sn", "Sn", "Pb"],
  "frac_coords": [[0.000, 0.338, 0.000], [0.000, 0.662, 0.000], [0.338, 0.000, 0.000], [0.338, 0.338, 0.000], [0.662, 0.000, 0.000], [0.662, 0.662, 0.000], [0.333, 0.667, 0.500], [0.667, 0.333, 0.500], [0.000, 0.000, 0.500]]
}



(2)
{
  "formula": "La6Sn2Pb",
  "functional": "PBE-GGA",
  "state": "relaxed",
  "magnetic_moment_mub_per_cell": 1.57,
  "rho_kg_m3": 6950,
  "space_group": "No. 38",
  "cell": [[4.507, 0.000, 0.000], [0.000, 7.660, 4.423], [0.000, -7.660, 4.423]],
  "species": ["La", "La", "La", "La", "La", "La", "Sn", "Sn", "Pb"],
  "frac_coords": [[0.000, 0.000, 0.000], [0.000, 0.454, 0.726], [0.000, 0.726, 0.454], [0.500, 0.139, 0.727], [0.500, 0.314, 0.314], [0.500, 0.727, 0.139], [0.000, 0.060, 0.394], [0.000, 0.394, 0.060], [0.500, 0.727, 0.727]]
}



Name the most stable of them. (2).



(1)
{
  "formula": "La2SnPb2",
  "functional": "PBE-GGA",
  "state": "relaxed",
  "magnetic_moment_mub_per_cell": 0.00,
  "rho_kg_m3": 8341,
  "space_group": "No. 127",
  "cell": [[8.270, 0.000, 0.000], [0.000, 8.270, 0.000], [0.000, 0.000, 4.721]],
  "species": ["La", "La", "La", "La", "Sn", "Sn", "Pb", "Pb", "Pb", "Pb"],
  "frac_coords": [[0.175, 0.325, 0.000], [0.325, 0.825, 0.000], [0.675, 0.175, 0.000], [0.825, 0.675, 0.000], [0.000, 0.000, 0.500], [0.500, 0.500, 0.500], [0.131, 0.631, 0.500], [0.369, 0.131, 0.500], [0.631, 0.869, 0.500], [0.869, 0.369, 0.500]]
}



(2)
{
  "formula": "La2SnPb2",
  "functional": "PBE-GGA",
  "state": "relaxed",
  "magnetic_moment_mub_per_cell": 0.00,
  "rho_kg_m3": 8273,
  "space_group": "No. 127",
  "cell": [[8.389, 0.000, 0.000], [0.000, 8.389, 0.000], [0.000, 0.000, 4.625]],
  "species": ["La", "La", "La", "La", "Sn", "Sn", "Pb", "Pb", "Pb", "Pb"],
  "frac_coords": [[0.133, 0.367, 0.000], [0.367, 0.867, 0.000], [0.633, 0.133, 0.000], [0.867, 0.633, 0.000], [0.000, 0.000, 0.000], [0.500, 0.500, 0.000], [0.176, 0.676, 0.500], [0.324, 0.176, 0.500], [0.676, 0.824, 0.500], [0.824, 0.324, 0.500]]
}



Name the most stable of them. (1).



(1)
{
  "formula": "LaTlSnPb",
  "functional": "PBE-GGA",
  "state": "relaxed",
  "magnetic_moment_mub_per_cell": 0.00,
  "rho_kg_m3": 9532,
  "space_group": "No. 47",
  "cell": [[4.825, 0.000, 0.000], [0.000, 4.873, 0.000], [0.000, 0.000, 4.959]],
  "species": ["La", "Tl", "Sn", "Pb"],
  "frac_coords": [[0.000, 0.000, 0.000], [0.500, 0.500, 0.000], [0.500, 0.000, 0.500], [0.000, 0.500, 0.500]]
}



(2)
{
  "formula": "LaTlSnPb",
  "functional": "PBE-GGA",
  "state": "relaxed",
  "magnetic_moment_mub_per_cell": 0.00,
  "rho_kg_m3": 9033,
  "space_group": "No. 216",
  "cell": [[7.895, 0.000, 0.000], [0.000, 7.895, 0.000], [0.000, 0.000, 7.895]],
  "species": ["La", "La", "La", "La", "Tl", "Tl", "Tl", "Tl", "Sn", "Sn", "Sn", "Sn", "Pb", "Pb", "Pb", "Pb"],
  "frac_coords": [[0.000, 0.000, 0.000], [0.000, 0.500, 0.500], [0.500, 0.000, 0.500], [0.500, 0.500, 0.000], [0.250, 0.250, 0.750], [0.250, 0.750, 0.250], [0.750, 0.250, 0.250], [0.750, 0.750, 0.750], [0.250, 0.250, 0.250], [0.250, 0.750, 0.750], [0.750, 0.250, 0.750], [0.750, 0.750, 0.250], [0.000, 0.000, 0.500], [0.000, 0.500, 0.000], [0.500, 0.000, 0.000], [0.500, 0.500, 0.500]]
}



Name the most stable of them. (1).



(1)
{
  "formula": "Sr2LaPb2",
  "functional": "PBE-GGA",
  "state": "relaxed",
  "magnetic_moment_mub_per_cell": 0.00,
  "rho_kg_m3": 6554,
  "space_group": "No. 127",
  "cell": [[9.620, 0.000, 0.000], [0.000, 9.620, 0.000], [0.000, 0.000, 3.989]],
  "species": ["Sr", "Sr", "Sr", "Sr", "La", "La", "Pb", "Pb", "Pb", "Pb"],
  "frac_coords": [[0.133, 0.367, 0.000], [0.367, 0.867, 0.000], [0.633, 0.133, 0.000], [0.867, 0.633, 0.000], [0.000, 0.000, 0.500], [0.500, 0.500, 0.500], [0.170, 0.670, 0.500], [0.330, 0.170, 0.500], [0.670, 0.830, 0.500], [0.830, 0.330, 0.500]]
}



(2)
{
  "formula": "Sr2LaPb2",
  "functional": "PBE-GGA",
  "state": "relaxed",
  "magnetic_moment_mub_per_cell": 0.00,
  "rho_kg_m3": 5918,
  "space_group": "No. 139",
  "cell": [[6.112, 0.000, 0.000], [0.000, 6.112, 0.000], [0.000, 0.000, 10.945]],
  "species": ["Sr", "Sr", "Sr", "Sr", "La", "La", "Pb", "Pb", "Pb", "Pb"],
  "frac_coords": [[0.000, 0.000, 0.160], [0.000, 0.000, 0.840], [0.500, 0.500, 0.340], [0.500, 0.500, 0.660], [0.000, 0.000, 0.500], [0.500, 0.500, 0.000], [0.000, 0.500, 0.250], [0.000, 0.500, 0.750], [0.500, 0.000, 0.250], [0.500, 0.000, 0.750]]
}



Name the most stable of them. (1).